No. 1
The following is a PBE calculation of an optimized crystal structure of SmMnNb2N4, from Alexandria via LeMat-Bulk.

## Properties
SG: Cmcm
Energy relative to the elements, uncorrected, eV/atom: -0.9697

extended XYZ file:
```
16
Lattice="-0.055 0.474 3.085 -5.446 -0.578 -1.588 0.656 -10.730 1.660" Properties=species:S:1:pos:R:3 pbc="T T T"
N 0.328 -5.365 0.830
Nb -3.673 -6.218 0.890
Sm -4.156 -2.713 1.922
N 0.000 0.000 0.000
N -1.951 -9.423 2.992
Nb -1.173 -4.616 2.268
Mn -1.556 -2.790 0.401
Sm -0.690 -8.121 1.235
N -4.392 -8.352 1.205
N -0.454 -2.482 1.953
Nb -1.427 -0.454 1.624
N -2.129 -6.511 2.542
Nb -3.419 -10.381 1.534
Mn -3.290 -8.045 2.757
N -2.717 -4.324 0.616
N -2.894 -1.412 0.165
```

***

No. 2
The following is a PBE calculation of an optimized crystal structure of HoInAg2S4, from Alexandria via LeMat-Bulk.

## Properties
SG: Imma
Energy relative to the elements, uncorrected, eV/atom: -0.7930

extended XYZ file:
```
16
Lattice="7.780 0.091 -0.170 0.085 7.780 -0.170 -3.998 -4.000 5.737" Properties=species:S:1:pos:R:3 pbc="T T T"
S 3.790 3.823 2.750
In 7.780 0.091 -0.170
In 1.934 1.935 2.698
Ag 3.933 3.935 -0.170
S 5.842 2.093 -0.124
S 0.078 0.047 2.647
S -0.070 3.872 2.652
S 1.981 2.013 5.345
S 3.937 -0.001 2.745
Ag 5.866 5.871 2.528
Ho 5.824 1.981 2.613
S 1.887 1.857 0.051
Ag 1.976 5.825 2.613
Ho 0.043 3.890 -0.085
Ag 3.890 0.045 -0.085
S -1.974 1.778 5.520
```

***

No. 3
The following is a PBE calculation of an optimized crystal structure of Li3ZnAg, from Alexandria via LeMat-Bulk.

## Properties
Energy of formation, kcal/mol of atoms: 5.4
SG: Pm-3m

extended XYZ file:
```
5
Lattice="4.696 0.000 0.000 0.000 4.696 0.000 0.000 0.000 4.696" Properties=species:S:1:pos:R:3 pbc="T T T"
Ag 2.348 2.348 2.348
Li 0.000 2.348 0.000
Li 0.000 0.000 2.348
Li 2.348 0.000 0.000
Zn 0.000 0.000 0.000
```

***

E_tot for every record listed, in sequence, given in eV per atom: -9.386; -4.484; -1.740.
Calculated volume for every record listed, in sequence, given in Å³ per atom: 11.64; 21.05; 20.71.